(1)
V4Pd12Pt (GGA-PBE, optimized geometry); space-group type = Im-3m (229); energy relative to the elements = 0.134 eV/atom; magnetization = 8.30 μB per formula unit
1.0
6.711 0.000 -2.373
-3.356 5.812 -2.373
0.000 0.000 7.118
V Pd Pt
4 12 1
Direct
0.000 0.000 0.500
0.500 0.000 0.000
0.500 0.500 0.500
0.000 0.500 0.000
0.000 0.299 0.299
0.000 0.701 0.701
0.701 0.701 0.000
0.299 0.299 0.000
0.299 0.000 0.299
0.701 0.000 0.701
0.500 0.250 0.750
0.500 0.750 0.250
0.750 0.250 0.500
0.250 0.750 0.500
0.750 0.500 0.250
0.250 0.500 0.750
0.000 0.000 0.000



(2)
B3Ir3Ru (GGA-PBE, optimized geometry); space-group type = P2_1/m (11); energy relative to the elements = -0.100 eV/atom; magnetization = 0.00 μB per formula unit
1.0
2.810 0.000 0.000
0.000 6.278 0.969
0.000 1.558 9.272
B Ir Ru
6 6 2
Direct
0.250 0.303 0.660
0.750 0.697 0.340
0.250 0.752 0.717
0.750 0.248 0.283
0.250 0.845 0.173
0.750 0.155 0.827
0.250 0.370 0.412
0.750 0.630 0.588
0.250 0.862 0.902
0.750 0.138 0.098
0.250 0.399 0.857
0.750 0.601 0.143
0.250 0.947 0.366
0.750 0.053 0.634



(3)
Li2TbIn2Hg2 (GGA-PBE, optimized geometry); space-group type = R-3m (166); energy relative to the elements = -0.297 eV/atom; magnetization = 0.00 μB per formula unit
1.0
4.802 0.000 0.000
2.401 4.159 0.000
2.401 1.386 7.831
Li Tb In Hg
2 1 2 2
Direct
0.141 0.141 0.577
0.859 0.859 0.423
0.000 0.000 0.000
0.732 0.732 0.804
0.268 0.268 0.196
0.566 0.566 0.301
0.434 0.434 0.699



(4)
MnOsAu2 (GGA-PBE, optimized geometry); space-group type = F-43m (216); relative energy among the computed polymorphs = 117 kJ/mol of formula units; energy relative to the elements = 0.526 eV/atom; magnetization = 2.98 μB per formula unit
1.0
-1.772 2.722 -3.113
-4.457 0.127 -0.604
-2.338 3.633 1.256
Au Mn Os
2 1 1
Direct
0.000 0.000 0.000
0.250 0.250 0.250
0.500 0.500 0.500
0.750 0.750 0.750



Across the entries above, mass density takes the values 10.02, 14.80, 8.53, 16.48 g/cm3, respectively.